5
Lattice="-0.087 1.031 4.950 2.921 -4.504 0.990 4.271 2.665 -0.480" Properties=species:S:1:pos:R:3 comment="KMg2ZrPd (GGA-PBE, optimized geometry)" formation_energy_ev_per_atom=0.6421 dft_energy_ev_per_cell=-14.82 sg="P4/mmm, No. 123" dos_at_fermi_per_ev_cell=4.64 pbc="T T T"
Mg -0.044 0.515 2.475
Mg 2.136 1.332 -0.240
Pd 0.000 0.000 0.000
Zr 3.552 -0.404 2.730
K 1.460 -2.252 0.495